1.
This record from Alexandria via LeMat-Bulk describes a relaxed ZnOsRu crystal. The functional is PBE.

Results
**E**: -43.2 eV per cell
**Fermi-level density of states**: 0.804 states/eV/atom
**DFT formation energy**: 0.06 eV/atom

Cell: 2.7766 2.7766 11.0546 Å, 90.00 90.00 90.00°
Space group I4mm (No. 107)
Unique sites:
Zn  0.0000  0.0000  0.0000 x2
Os  0.0000  0.0000  0.3258 x2
Ru  0.0000  0.0000  0.6724 x2

2.
This record from Alexandria via LeMat-Bulk describes a relaxed ZnOs2Ru crystal. The functional is PBE.

Results
**E**: -63.6 eV per cell
**Fermi-level density of states**: 1.126 states/eV/atom
**DFT formation energy**: 0.31 eV/atom

Cell: 3.7811 3.7811 7.9036 Å, 90.00 90.00 90.00°
Space group I-4m2 (No. 119)
Unique sites:
Zn  0.0000  0.0000  0.0000 x2
Os  0.0000  0.0000  0.5000 x2
Os  0.0000  0.5000  0.7500 x2
Ru  0.0000  0.5000  0.2500 x2

3.
This record from Alexandria via LeMat-Bulk describes a relaxed ZnOsRu crystal. The functional is PBE.

Results
**E**: -82.9 eV per cell
**Fermi-level density of states**: 1.315 states/eV/atom
**DFT formation energy**: 0.35 eV/atom

Cell: 2.7812 4.6410 13.5255 Å, 90.00 90.00 90.00°
Space group Fmm2 (No. 42)
Unique sites:
Zn  0.0000  0.0000  0.0000 x4
Os  0.0000  0.0000  0.3299 x4
Ru  0.0000  0.0000  0.6665 x4

4.
This record from Alexandria via LeMat-Bulk describes a relaxed ZnOs2Ru crystal. The functional is PBE.

Results
**E**: -106.7 eV per cell
**Fermi-level density of states**: 0.723 states/eV/atom
**DFT formation energy**: 1.59 eV/atom

Cell: 5.9257 5.9257 9.5185 Å, 90.00 90.00 90.00°
Space group I-42d (No. 122)
Unique sites:
Zn  0.0000  0.0000  0.0000 x4
Os  0.2327  0.2500  0.6250 x8
Ru  0.0000  0.0000  0.5000 x4

5.
This record from Alexandria via LeMat-Bulk describes a relaxed ZnOs2Ru crystal. The functional is PBE.

Results
**E**: -64.3 eV per cell
**Fermi-level density of states**: 0.920 states/eV/atom
**DFT formation energy**: 0.22 eV/atom

Cell: 9.0381 2.7340 4.6976 Å, 90.00 100.40 90.00°
Space group Cm (No. 8)
Unique sites:
Zn  0.0000  0.0000  0.0000 x2
Os  0.0104  0.5000  0.4940 x2
Os  0.2625  0.5000  0.2961 x2
Ru  0.2446  0.0000  0.7945 x2

6.
This record from Alexandria via LeMat-Bulk describes a relaxed Zn4OsRu crystal. The functional is PBE.

Results
**E**: -96.9 eV per cell
**Fermi-level density of states**: 0.692 states/eV/atom
**DFT formation energy**: 0.23 eV/atom

Cell: 6.8938 6.8938 6.8938 Å, 90.00 90.00 90.00°
Space group F-43m (No. 216)
Unique sites:
Zn  0.1249  0.1249  0.1249 x16
Os  0.2500  0.2500  0.7500 x4
Ru  0.0000  0.0000  0.5000 x4

7.
This record from Alexandria via LeMat-Bulk describes a relaxed ZnOs2Ru crystal. The functional is PBE.

Results
**E**: -64.3 eV per cell
**Fermi-level density of states**: 1.270 states/eV/atom
**DFT formation energy**: 0.21 eV/atom

Cell: 9.0843 2.7315 4.6491 Å, 90.00 99.59 90.00°
Space group C2/m (No. 12)
Unique sites:
Zn  0.0000  0.0000  0.0000 x2
Os  0.2416  0.0000  0.7501 x4
Ru  0.0000  0.5000  0.5000 x2

8.
This record from Alexandria via LeMat-Bulk describes a relaxed ZnOsRu crystal. The functional is PBE.

Results
**E**: -81.6 eV per cell
**Fermi-level density of states**: 0.763 states/eV/atom
**DFT formation energy**: 0.46 eV/atom

Cell: 5.8283 5.8283 5.8283 Å, 90.00 90.00 90.00°
Space group F-43m (No. 216)
Unique sites:
Zn  0.0000  0.0000  0.0000 x4
Os  0.0000  0.0000  0.5000 x4
Ru  0.2500  0.2500  0.2500 x4

9.
This record from Alexandria via LeMat-Bulk describes a relaxed ZnOs2Ru crystal. The functional is PBE.

Results
**E**: -31.4 eV per cell
**Fermi-level density of states**: 1.064 states/eV/atom
**DFT formation energy**: 0.41 eV/atom

Cell: 2.8230 4.4989 4.5172 Å, 90.00 90.00 90.00°
Space group Pmmm (No. 47)
Unique sites:
Zn  0.0000  0.0000  0.0000 x1
Os  0.0000  0.5000  0.5000 x1
Os  0.5000  0.0000  0.5000 x1
Ru  0.5000  0.5000  0.0000 x1

10.
This record from Alexandria via LeMat-Bulk describes a relaxed ZnOs2Ru crystal. The functional is PBE.

Results
**E**: -32.2 eV per cell
**Fermi-level density of states**: 0.974 states/eV/atom
**DFT formation energy**: 0.19 eV/atom

Cell: 2.7626 3.8346 5.3311 Å, 90.00 90.08 90.00°
Space group Pm (No. 6)
Unique sites:
Zn  0.0000  0.0000  0.0000 x1
Os  0.0000  0.0000  0.5017 x1
Os  0.5012  0.5000  0.7399 x1
Ru  0.4990  0.5000  0.2343 x1

11.
This record from Alexandria via LeMat-Bulk describes a relaxed ZnOs2Ru crystal. The functional is PBE.

Results
**E**: -31.0 eV per cell
**Fermi-level density of states**: 1.024 states/eV/atom
**DFT formation energy**: 0.51 eV/atom

Cell: 4.5243 4.5243 2.7952 Å, 90.00 90.00 90.00°
Space group P4/mmm (No. 123)
Unique sites:
Zn  0.0000  0.0000  0.0000 x1
Os  0.0000  0.5000  0.5000 x2
Ru  0.5000  0.5000  0.0000 x1

12.
This record from Alexandria via LeMat-Bulk describes a relaxed ZnOsRu3 crystal. The functional is PBE.

Results
**E**: -32.1 eV per cell
**Fermi-level density of states**: 1.074 states/eV/atom
**DFT formation energy**: 1.66 eV/atom

Cell: 4.6744 4.6744 4.6744 Å, 90.00 90.00 90.00°
Space group Pm-3m (No. 221)
Unique sites:
Zn  0.0000  0.0000  0.0000 x1
Os  0.5000  0.5000  0.5000 x1
Ru  0.0000  0.5000  0.5000 x3

> Which formula does entry 8 have?

ZnOsRu

> Which of these has the highest Fermi-level density of states?

number 3

> What is the formula in the second record?

ZnOs2Ru